No. 1
# SiAg2Os

An optimized crystal structure of SiAg2Os (PBEsol, the Alexandria database).

extended XYZ file:
```
4
Lattice="2.567 -4.973 0.000 2.567 4.973 0.000 -1.521 0.000 2.381" Properties=species:S:1:pos:R:3 pbc="T T T"
Si 0.000 0.000 0.000
Ag 0.523 2.487 1.191
Ag 0.523 -2.487 1.191
Os 2.567 0.000 0.000
```

Computed properties:
- Electronic total energy: -5.81 eV/atom
- Energy relative to the elements, uncorrected: 32.8 kJ per mole of atoms
- D(E_F): 2.36 states/eV per cell
- ρ: 11.86 Mg/m³
- Space-group type: C2/m (12)



No. 2
# SiAgOs2

An optimized crystal structure of SiAgOs2 (PBEsol, the Alexandria database).

extended XYZ file:
```
4
Lattice="1.390 0.802 8.486 -1.390 0.802 8.486 0.000 -1.605 8.486" Properties=species:S:1:pos:R:3 pbc="T T T"
Si 0.000 0.000 0.000
Ag 0.000 0.000 12.730
Os 0.000 0.000 6.629
Os 0.000 0.000 18.830
```

Computed properties:
- Electronic total energy: -8.23 eV/atom
- Energy relative to the elements, uncorrected: 14.2 kJ per mole of atoms
- D(E_F): 3.30 states/eV per cell
- ρ: 15.10 Mg/m³
- Space-group type: R-3m (166)



No. 3
# SiAg2Os

An optimized crystal structure of SiAg2Os (PBEsol, the Alexandria database).

extended XYZ file:
```
4
Lattice="0.000 3.085 3.085 3.085 0.000 3.085 3.085 3.085 0.000" Properties=species:S:1:pos:R:3 pbc="T T T"
Si 0.000 0.000 0.000
Ag 3.085 3.085 3.085
Ag 4.628 4.628 4.628
Os 1.543 1.543 1.543
```

Computed properties:
- Electronic total energy: -5.78 eV/atom
- Energy relative to the elements, uncorrected: 35.6 kJ per mole of atoms
- D(E_F): 1.26 states/eV per cell
- ρ: 12.27 Mg/m³
- Space-group type: F-43m (216)



No. 4
# Sr2AgOs

An optimized crystal structure of Sr2AgOs (PBEsol, the Alexandria database).

extended XYZ file:
```
4
Lattice="0.000 3.562 3.562 3.562 0.000 3.562 3.562 3.562 0.000" Properties=species:S:1:pos:R:3 pbc="T T T"
Sr 0.000 0.000 0.000
Sr 1.781 1.781 1.781
Ag 5.343 5.343 5.343
Os 3.562 3.562 3.562
```

Computed properties:
- ΔE_f: 0.70 eV/atom
- Electronic total energy: -4.10 eV/atom
- D(E_F): 4.66 states/eV per cell
- ρ: 8.70 Mg/m³
- Space-group type: F-43m (216)



No. 5
# SrAgOs2

An optimized crystal structure of SrAgOs2 (PBEsol, the Alexandria database).

extended XYZ file:
```
4
Lattice="2.880 0.000 0.000 0.000 5.106 0.000 -0.434 0.000 4.883" Properties=species:S:1:pos:R:3 pbc="T T T"
Sr 0.000 0.000 0.000
Ag 1.223 0.000 2.442
Os 0.653 2.553 3.633
Os 1.793 2.553 1.250
```

Computed properties:
- ΔE_f: 0.91 eV/atom
- ΔE to the lowest computed polymorph: 0.000 eV/atom
- Electronic total energy: -6.48 eV/atom
- D(E_F): 4.64 states/eV per cell
- ρ: 13.32 Mg/m³
- Space-group type: P2/m (10)



No. 6
# SrAgOs2

An optimized crystal structure of SrAgOs2 (PBEsol, the Alexandria database).

extended XYZ file:
```
4
Lattice="1.389 0.802 10.162 -1.389 0.802 10.162 0.000 -1.604 10.162" Properties=species:S:1:pos:R:3 pbc="T T T"
Sr 0.000 0.000 0.000
Ag 0.000 0.000 15.243
Os 0.000 0.000 7.420
Os 0.000 0.000 23.066
```

Computed properties:
- ΔE_f: 1.07 eV/atom
- ΔE to the lowest computed polymorph: 0.163 eV/atom
- Electronic total energy: -6.32 eV/atom
- D(E_F): 4.41 states/eV per cell
- ρ: 14.08 Mg/m³
- Space-group type: R-3m (166)